Record 1
! LiB2Pb3O6 PBE-GGA relaxed; values from VASP
&SYSTEM
  ibrav = 0, nat = 12, ntyp = 4
/
ATOMIC_SPECIES
O 16.00 O.upf
Li 6.94 Li.upf
Pb 207.20 Pb.upf
B 10.81 B.upf
CELL_PARAMETERS angstrom
-1.014 -3.642 3.836
5.074 1.480 -1.035
-0.516 4.981 4.592
ATOMIC_POSITIONS crystal
O 0.632 0.816 0.294
O 0.816 0.184 0.706
O 0.368 0.184 0.706
O 0.816 0.632 0.706
O 0.184 0.816 0.294
O 0.184 0.368 0.294
Li 0.000 0.000 0.500
Pb 0.667 0.333 0.296
Pb 0.000 0.000 0.000
Pb 0.333 0.667 0.704
B 0.667 0.333 0.709
B 0.333 0.667 0.291
! magnetization: 0.000 μB per cell
! E_form (uncorrected): -1925.6 kJ/mol of formula units
! crystal system: trigonal
! DOS at the Fermi energy: 0.43 states/eV per cell



Record 2
! ScBO2 PBE-GGA relaxed; values from VASP
&SYSTEM
  ibrav = 0, nat = 4, ntyp = 3
/
ATOMIC_SPECIES
O 16.00 O.upf
B 10.81 B.upf
Sc 44.96 Sc.upf
CELL_PARAMETERS angstrom
2.116 0.000 4.202
-1.058 1.833 4.202
-1.058 -1.833 4.202
ATOMIC_POSITIONS crystal
O 0.106 0.106 0.106
O 0.894 0.894 0.894
B 0.000 0.000 0.000
Sc 0.500 0.500 0.500
! magnetization: 0.000 μB per cell
! E_form (uncorrected): -734.1 kJ/mol of formula units
! crystal system: trigonal
! DOS at the Fermi energy: 0.37 states/eV per cell



Record 3
! Cs3TbTe2O9 PBE-GGA relaxed; values from VASP
&SYSTEM
  ibrav = 0, nat = 15, ntyp = 4
/
ATOMIC_SPECIES
Te 127.60 Te.upf
O 16.00 O.upf
Tb 158.93 Tb.upf
Cs 132.91 Cs.upf
CELL_PARAMETERS angstrom
6.070 0.000 0.000
-3.035 5.257 0.000
0.000 0.000 7.433
ATOMIC_POSITIONS crystal
Te 0.333 0.667 0.171
Te 0.667 0.333 0.829
O 0.500 0.500 0.000
O 0.500 0.000 0.000
O 0.000 0.500 0.000
O 0.360 0.180 0.685
O 0.640 0.820 0.315
O 0.180 0.820 0.315
O 0.180 0.360 0.315
O 0.820 0.640 0.685
O 0.820 0.180 0.685
Tb 0.000 0.000 0.500
Cs 0.667 0.333 0.332
Cs 0.000 0.000 0.000
Cs 0.333 0.667 0.668
! magnetization: 0.000 μB per cell
! E_form (uncorrected): -2178.5 kJ/mol of formula units
! crystal system: trigonal
! DOS at the Fermi energy: 8.39 states/eV per cell



Record 4
! KCo3I PBE-GGA relaxed; values from VASP
&SYSTEM
  ibrav = 0, nat = 5, ntyp = 3
/
ATOMIC_SPECIES
I 126.90 I.upf
Co 58.93 Co.upf
K 39.10 K.upf
CELL_PARAMETERS angstrom
4.784 0.000 0.000
0.000 4.784 0.000
0.000 0.000 4.784
ATOMIC_POSITIONS crystal
I 0.000 0.000 0.000
Co 0.000 0.000 0.500
Co 0.000 0.500 0.000
Co 0.500 0.000 0.000
K 0.500 0.500 0.500
! magnetization: 3.003 μB per cell
! E_form (uncorrected): 589.5 kJ/mol of formula units
! crystal system: cubic
! DOS at the Fermi energy: 4.30 states/eV per cell
! polymorph energy (0 for the lowest one): 0.0 kJ/mol of atoms



Record 5
! TlH2F4 PBE-GGA relaxed; values from VASP
&SYSTEM
  ibrav = 0, nat = 7, ntyp = 3
/
ATOMIC_SPECIES
F 19.00 F.upf
H 1.01 H.upf
Tl 204.38 Tl.upf
CELL_PARAMETERS angstrom
4.599 -0.443 0.000
-2.602 3.818 0.000
-0.998 -1.688 4.184
ATOMIC_POSITIONS crystal
F 0.884 0.344 0.228
F 0.344 0.116 0.460
F 0.656 0.884 0.540
F 0.116 0.656 0.772
H 0.750 0.250 0.500
H 0.250 0.750 0.500
Tl 0.500 0.500 0.000
! magnetization: 0.000 μB per cell
! crystal system: tetragonal
! DOS at the Fermi energy: 2.91 states/eV per cell
! polymorph energy (0 for the lowest one): 34.1 kJ/mol of atoms



Record 6
! Sr2TlSnO5 PBE-GGA relaxed; values from VASP
&SYSTEM
  ibrav = 0, nat = 18, ntyp = 4
/
ATOMIC_SPECIES
O 16.00 O.upf
Sn 118.71 Sn.upf
Sr 87.62 Sr.upf
Tl 204.38 Tl.upf
CELL_PARAMETERS angstrom
3.412 0.000 0.000
-1.706 8.294 0.000
0.000 0.000 9.697
ATOMIC_POSITIONS crystal
O 0.500 0.000 0.258
O 0.720 0.440 0.150
O 0.104 0.207 0.009
O 0.720 0.440 0.867
O 0.500 0.000 0.758
O 0.896 0.793 0.509
O 0.280 0.560 0.650
O 0.280 0.560 0.367
O 0.352 0.704 0.008
O 0.648 0.296 0.508
Sn 0.228 0.456 0.008
Sn 0.772 0.544 0.508
Sr 0.127 0.253 0.296
Sr 0.873 0.747 0.221
Sr 0.873 0.747 0.796
Sr 0.127 0.253 0.721
Tl 0.515 0.030 0.008
Tl 0.485 0.970 0.508
! magnetization: 0.000 μB per cell
! E_form (uncorrected): -1632.3 kJ/mol of formula units
! crystal system: orthorhombic
! DOS at the Fermi energy: 2.76 states/eV per cell



Record 7
! Ac3PmOs PBE-GGA relaxed; values from VASP
&SYSTEM
  ibrav = 0, nat = 10, ntyp = 3
/
ATOMIC_SPECIES
Ac 227.00 Ac.upf
Pm 145.00 Pm.upf
Os 190.23 Os.upf
CELL_PARAMETERS angstrom
-2.238 3.350 6.794
-5.874 1.439 -5.081
1.215 -7.794 0.781
ATOMIC_POSITIONS crystal
Ac 0.163 0.955 0.713
Ac 0.758 0.550 0.713
Ac 0.242 0.450 0.287
Ac 0.837 0.045 0.287
Ac 0.706 0.453 0.159
Ac 0.294 0.547 0.841
Pm 0.694 0.042 0.736
Pm 0.306 0.958 0.264
Os 0.410 0.247 0.657
Os 0.590 0.753 0.343
! magnetization: 0.000 μB per cell
! crystal system: monoclinic
! DOS at the Fermi energy: 10.02 states/eV per cell
! polymorph energy (0 for the lowest one): 0.0 kJ/mol of atoms
! calculated formation energy: -0.06 eV/atom



Record 8
! PmSbH8Rh4 PBE-GGA relaxed; values from VASP
&SYSTEM
  ibrav = 0, nat = 14, ntyp = 4
/
ATOMIC_SPECIES
Sb 121.76 Sb.upf
H 1.01 H.upf
Pm 145.00 Pm.upf
Rh 102.91 Rh.upf
CELL_PARAMETERS angstrom
5.596 0.000 0.000
2.798 4.846 0.000
2.798 1.615 5.429
ATOMIC_POSITIONS crystal
Sb 0.984 0.984 0.048
H 0.664 0.664 0.399
H 0.234 0.234 0.298
H 0.246 0.869 0.639
H 0.869 0.246 0.639
H 0.246 0.246 0.639
H 0.785 0.785 0.645
H 0.274 0.664 0.399
H 0.664 0.274 0.399
Pm 0.390 0.390 0.830
Rh 0.012 0.513 0.462
Rh 0.607 0.607 0.178
Rh 0.513 0.012 0.462
Rh 0.012 0.012 0.462
! magnetization: 0.000 μB per cell
! crystal system: trigonal
! DOS at the Fermi energy: 3.99 states/eV per cell
! DFT total energy: -66.67 eV/cell



Record 9
! LaFeSi2 PBE-GGA relaxed; values from VASP
&SYSTEM
  ibrav = 0, nat = 8, ntyp = 3
/
ATOMIC_SPECIES
Si 28.09 Si.upf
Fe 55.84 Fe.upf
La 138.91 La.upf
CELL_PARAMETERS angstrom
8.819 -0.007 0.000
-7.835 4.048 0.000
0.000 0.000 4.056
ATOMIC_POSITIONS crystal
Si 0.463 0.537 0.750
Si 0.310 0.690 0.750
Si 0.690 0.310 0.250
Si 0.537 0.463 0.250
Fe 0.750 0.250 0.750
Fe 0.250 0.750 0.250
La 0.892 0.108 0.250
La 0.108 0.892 0.750
! magnetization: 0.000 μB per cell
! E_form (uncorrected): -253.1 kJ/mol of formula units
! crystal system: orthorhombic
! DOS at the Fermi energy: 4.24 states/eV per cell



Record 10
! Mg3Ga3Ir2 PBE-GGA relaxed; values from VASP
&SYSTEM
  ibrav = 0, nat = 16, ntyp = 3
/
ATOMIC_SPECIES
Ga 69.72 Ga.upf
Mg 24.30 Mg.upf
Ir 192.22 Ir.upf
CELL_PARAMETERS angstrom
3.921 0.000 0.000
-1.960 4.865 0.000
0.000 0.000 15.186
ATOMIC_POSITIONS crystal
Ga 0.632 0.263 0.750
Ga 0.642 0.285 0.471
Ga 0.368 0.737 0.250
Ga 0.358 0.715 0.971
Ga 0.358 0.715 0.529
Ga 0.642 0.285 0.029
Mg 0.349 0.698 0.750
Mg 0.061 0.122 0.888
Mg 0.939 0.878 0.388
Mg 0.651 0.302 0.250
Mg 0.061 0.122 0.612
Mg 0.939 0.878 0.112
Ir 0.776 0.552 0.617
Ir 0.224 0.448 0.117
Ir 0.776 0.552 0.883
Ir 0.224 0.448 0.383
! magnetization: 0.000 μB per cell
! crystal system: orthorhombic
! DOS at the Fermi energy: 7.68 states/eV per cell
! polymorph energy (0 for the lowest one): 3.9 kJ/mol of atoms
! calculated formation energy: -0.39 eV/atom



Record 11
! SmScGa4 PBE-GGA relaxed; values from VASP
&SYSTEM
  ibrav = 0, nat = 6, ntyp = 3
/
ATOMIC_SPECIES
Sm 150.36 Sm.upf
Ga 69.72 Ga.upf
Sc 44.96 Sc.upf
CELL_PARAMETERS angstrom
5.462 0.000 0.000
2.731 4.730 0.000
2.731 1.577 4.460
ATOMIC_POSITIONS crystal
Sm 0.250 0.250 0.250
Ga 0.625 0.625 0.124
Ga 0.625 0.625 0.625
Ga 0.124 0.625 0.625
Ga 0.625 0.124 0.625
Sc 0.000 0.000 0.000
! magnetization: 0.000 μB per cell
! crystal system: cubic
! DOS at the Fermi energy: 3.65 states/eV per cell
! polymorph energy (0 for the lowest one): 8.5 kJ/mol of atoms
! calculated formation energy: -0.52 eV/atom